(1)
# LuPuPb | OQMD via LeMat-Bulk | GGA-PBE | relaxed
# Relative energy among the computed polymorphs: 0 meV per atom
# Size of the total moment: 27.98 μB per cell
# Raw total energy: -22.22 eV/f.u.
data_LuPuPb
_chemical_formula_sum 'Lu4 Pu4 Pb4'
_space_group_name_H-M_alt 'F -4 3 m'
_space_group_IT_number 216
_space_group_name_Hall 'F -4 2 3'
_cell_length_a 7.361
_cell_length_b 7.361
_cell_length_c 7.361
_cell_angle_alpha 90.00
_cell_angle_beta 90.00
_cell_angle_gamma 90.00
loop_
_atom_site_label
_atom_site_type_symbol
_atom_site_fract_x
_atom_site_fract_y
_atom_site_fract_z
Lu1 Lu 0.000 0.000 0.000
Pu1 Pu 0.000 0.000 0.500
Pb1 Pb 0.250 0.250 0.250

(2)
# Pt15Pb | OQMD via LeMat-Bulk | GGA-PBE | relaxed
# Relative energy among the computed polymorphs: 0 meV per atom
# Size of the total moment: 0.07 μB per cell
# Raw total energy: -94.36 eV/f.u.
data_Pt15Pb
_chemical_formula_sum 'Pt30 Pb2'
_space_group_name_H-M_alt 'P m m a'
_space_group_IT_number 51
_space_group_name_Hall '-P 2a 2a'
_cell_length_a 3.950
_cell_length_b 3.950
_cell_length_c 45.115
_cell_angle_alpha 90.00
_cell_angle_beta 90.00
_cell_angle_gamma 90.00
loop_
_atom_site_label
_atom_site_type_symbol
_atom_site_fract_x
_atom_site_fract_y
_atom_site_fract_z
Pt1 Pt 0.250 0.000 0.022
Pt2 Pt 0.250 0.000 0.110
Pt3 Pt 0.250 0.000 0.198
Pt4 Pt 0.250 0.000 0.286
Pt5 Pt 0.250 0.000 0.671
Pt6 Pt 0.250 0.000 0.758
Pt7 Pt 0.250 0.000 0.846
Pt8 Pt 0.250 0.000 0.934
Pt9 Pt 0.250 0.500 0.066
Pt10 Pt 0.250 0.500 0.154
Pt11 Pt 0.250 0.500 0.241
Pt12 Pt 0.250 0.500 0.714
Pt13 Pt 0.250 0.500 0.802
Pt14 Pt 0.250 0.500 0.890
Pt15 Pt 0.250 0.500 0.978
Pb1 Pb 0.250 0.500 0.344

(3)
# CsMgNi | OQMD via LeMat-Bulk | GGA-PBE | relaxed
# Size of the total moment: 2.31 μB per cell
# Raw total energy: -5.06 eV/f.u.
data_CsMgNi
_chemical_formula_sum 'Cs4 Mg4 Ni4'
_space_group_name_H-M_alt 'F -4 3 m'
_space_group_IT_number 216
_space_group_name_Hall 'F -4 2 3'
_cell_length_a 7.596
_cell_length_b 7.596
_cell_length_c 7.596
_cell_angle_alpha 90.00
_cell_angle_beta 90.00
_cell_angle_gamma 90.00
loop_
_atom_site_label
_atom_site_type_symbol
_atom_site_fract_x
_atom_site_fract_y
_atom_site_fract_z
Cs1 Cs 0.000 0.000 0.000
Mg1 Mg 0.250 0.250 0.750
Ni1 Ni 0.000 0.000 0.500

(4)
# Cu3Ag | OQMD via LeMat-Bulk | GGA-PBE | relaxed
# Raw total energy: -13.66 eV/f.u.
# Calculated formation energy: 0.080 eV/atom
data_Cu3Ag
_chemical_formula_sum 'Cu24 Ag8'
_space_group_name_H-M_alt 'P 1'
_space_group_IT_number 1
_space_group_name_Hall 'P 1'
_cell_length_a 5.341
_cell_length_b 7.412
_cell_length_c 10.682
_cell_angle_alpha 90.09
_cell_angle_beta 90.02
_cell_angle_gamma 90.02
loop_
_atom_site_label
_atom_site_type_symbol
_atom_site_fract_x
_atom_site_fract_y
_atom_site_fract_z
Cu1 Cu 0.000 0.000 0.000
Cu2 Cu 0.000 0.015 0.243
Cu3 Cu 0.242 0.264 0.609
Cu4 Cu 0.245 0.258 0.363
Cu5 Cu 0.247 0.744 0.880
Cu6 Cu 0.249 0.251 0.124
Cu7 Cu 0.250 0.752 0.111
Cu8 Cu 0.499 0.017 0.237
Cu9 Cu 0.501 0.000 0.000
Cu10 Cu 0.502 0.502 0.003
Cu11 Cu 0.503 0.486 0.241
Cu12 Cu 0.509 0.487 0.483
Cu13 Cu 0.752 0.250 0.117
Cu14 Cu 0.752 0.255 0.881
Cu15 Cu 0.754 0.739 0.607
Cu16 Cu 0.754 0.742 0.371
Cu17 Cu 0.757 0.256 0.359
Cu18 Cu 0.759 0.745 0.875
Cu19 Cu 0.762 0.261 0.612
Cu20 Cu 0.991 0.490 0.485
Cu21 Cu 0.997 0.503 0.998
Cu22 Cu 0.998 0.500 0.746
Cu23 Cu 0.999 0.013 0.484
Cu24 Cu 0.999 0.488 0.239
Ag1 Ag 0.243 0.738 0.610
Ag2 Ag 0.245 0.256 0.880
Ag3 Ag 0.249 0.746 0.353
Ag4 Ag 0.503 0.998 0.748
Ag5 Ag 0.508 0.012 0.487
Ag6 Ag 0.512 0.499 0.745
Ag7 Ag 0.750 0.753 0.126
Ag8 Ag 0.996 0.001 0.741

(5)
# NaTaAgS3 | OQMD via LeMat-Bulk | GGA-PBE | relaxed
# Size of the total moment: 1.71 μB per cell
# Raw total energy: -32.25 eV/f.u.
data_NaTaAgS3
_chemical_formula_sum 'Na4 Ta4 Ag4 S12'
_space_group_name_H-M_alt 'C m c m'
_space_group_IT_number 63
_space_group_name_Hall '-C 2c 2'
_cell_length_a 3.558
_cell_length_b 13.578
_cell_length_c 9.889
_cell_angle_alpha 90.00
_cell_angle_beta 90.00
_cell_angle_gamma 90.00
loop_
_atom_site_label
_atom_site_type_symbol
_atom_site_fract_x
_atom_site_fract_y
_atom_site_fract_z
Na1 Na 0.000 0.240 0.250
Ta1 Ta 0.000 0.500 0.000
Ag1 Ag 0.000 0.064 0.750
S1 S 0.000 0.130 0.525
S2 S 0.000 0.427 0.750

(6)
# KNbCoTe3 | OQMD via LeMat-Bulk | GGA-PBE | relaxed
# Size of the total moment: 3.23 μB per cell
# Raw total energy: -30.44 eV/f.u.
data_KNbCoTe3
_chemical_formula_sum 'K4 Nb4 Co4 Te12'
_space_group_name_H-M_alt 'C m c m'
_space_group_IT_number 63
_space_group_name_Hall '-C 2c 2'
_cell_length_a 3.766
_cell_length_b 17.083
_cell_length_c 10.176
_cell_angle_alpha 90.00
_cell_angle_beta 90.00
_cell_angle_gamma 90.00
loop_
_atom_site_label
_atom_site_type_symbol
_atom_site_fract_x
_atom_site_fract_y
_atom_site_fract_z
K1 K 0.000 0.248 0.250
Nb1 Nb 0.000 0.500 0.000
Co1 Co 0.000 0.021 0.750
Te1 Te 0.000 0.117 0.566
Te2 Te 0.000 0.425 0.750

(7)
# Fe2P | OQMD via LeMat-Bulk | GGA-PBE | relaxed
# Size of the total moment: 11.64 μB per cell
# Raw total energy: -22.79 eV/f.u.
data_Fe2P
_chemical_formula_sum 'Fe8 P4'
_space_group_name_H-M_alt 'F -4 3 m'
_space_group_IT_number 216
_space_group_name_Hall 'F -4 2 3'
_cell_length_a 5.291
_cell_length_b 5.291
_cell_length_c 5.291
_cell_angle_alpha 90.00
_cell_angle_beta 90.00
_cell_angle_gamma 90.00
loop_
_atom_site_label
_atom_site_type_symbol
_atom_site_fract_x
_atom_site_fract_y
_atom_site_fract_z
Fe1 Fe 0.000 0.000 0.000
Fe2 Fe 0.250 0.250 0.250
P1 P 0.000 0.000 0.500

(8)
# Dy4I5N | OQMD via LeMat-Bulk | GGA-PBE | relaxed
# Size of the total moment: 0.00 μB per cell
# Raw total energy: -47.03 eV/f.u.
data_Dy4I5N
_chemical_formula_sum 'Dy8 I10 N2'
_space_group_name_H-M_alt 'C 1 2/m 1'
_space_group_IT_number 12
_space_group_name_Hall '-C 2y'
_cell_length_a 18.930
_cell_length_b 3.908
_cell_length_c 8.551
_cell_angle_alpha 90.00
_cell_angle_beta 102.67
_cell_angle_gamma 90.00
loop_
_atom_site_label
_atom_site_type_symbol
_atom_site_fract_x
_atom_site_fract_y
_atom_site_fract_z
Dy1 Dy 0.001 0.000 0.312
Dy2 Dy 0.126 0.500 0.562
I1 I 0.000 0.500 0.000
I2 I 0.163 0.000 0.840
I3 I 0.167 0.000 0.321
N1 N 0.000 0.500 0.500

(9)
# TaFeAu2 | OQMD via LeMat-Bulk | GGA-PBE | relaxed
# Size of the total moment: 7.64 μB per cell
# Raw total energy: -26.21 eV/f.u.
# Calculated formation energy: 0.122 eV/atom
data_TaFeAu2
_chemical_formula_sum 'Ta4 Fe4 Au8'
_space_group_name_H-M_alt 'F -4 3 m'
_space_group_IT_number 216
_space_group_name_Hall 'F -4 2 3'
_cell_length_a 6.391
_cell_length_b 6.391
_cell_length_c 6.391
_cell_angle_alpha 90.00
_cell_angle_beta 90.00
_cell_angle_gamma 90.00
loop_
_atom_site_label
_atom_site_type_symbol
_atom_site_fract_x
_atom_site_fract_y
_atom_site_fract_z
Ta1 Ta 0.000 0.000 0.000
Fe1 Fe 0.250 0.250 0.250
Au1 Au 0.000 0.000 0.500
Au2 Au 0.250 0.250 0.750

(10)
# Nb3SiB4 | OQMD via LeMat-Bulk | GGA-PBE | relaxed
# Size of the total moment: 0.01 μB per cell
# Raw total energy: -67.05 eV/f.u.
data_Nb3SiB4
_chemical_formula_sum 'Nb3 Si1 B4'
_space_group_name_H-M_alt 'P m m m'
_space_group_IT_number 47
_space_group_name_Hall '-P 2 2'
_cell_length_a 3.128
_cell_length_b 3.309
_cell_length_c 8.375
_cell_angle_alpha 90.00
_cell_angle_beta 90.00
_cell_angle_gamma 90.00
loop_
_atom_site_label
_atom_site_type_symbol
_atom_site_fract_x
_atom_site_fract_y
_atom_site_fract_z
Nb1 Nb 0.000 0.000 0.000
Nb2 Nb 0.500 0.000 0.317
Si1 Si 0.000 0.500 0.500
B1 B 0.000 0.500 0.218
B2 B 0.500 0.500 0.110

(11)
# Lu2MgB | OQMD via LeMat-Bulk | GGA-PBE | relaxed
# Size of the total moment: 0.01 μB per cell
# Raw total energy: -13.98 eV/f.u.
data_Lu2MgB
_chemical_formula_sum 'Lu8 Mg4 B4'
_space_group_name_H-M_alt 'F -4 3 m'
_space_group_IT_number 216
_space_group_name_Hall 'F -4 2 3'
_cell_length_a 6.919
_cell_length_b 6.919
_cell_length_c 6.919
_cell_angle_alpha 90.00
_cell_angle_beta 90.00
_cell_angle_gamma 90.00
loop_
_atom_site_label
_atom_site_type_symbol
_atom_site_fract_x
_atom_site_fract_y
_atom_site_fract_z
Lu1 Lu 0.000 0.000 0.000
Lu2 Lu 0.250 0.250 0.250
Mg1 Mg 0.250 0.250 0.750
B1 B 0.000 0.000 0.500

(12)
# TaTlNi2 | OQMD via LeMat-Bulk | GGA-PBE | relaxed
# Size of the total moment: 0.01 μB per cell
# Raw total energy: -23.86 eV/f.u.
data_TaTlNi2
_chemical_formula_sum 'Ta4 Tl4 Ni8'
_space_group_name_H-M_alt 'F -4 3 m'
_space_group_IT_number 216
_space_group_name_Hall 'F -4 2 3'
_cell_length_a 6.290
_cell_length_b 6.290
_cell_length_c 6.290
_cell_angle_alpha 90.00
_cell_angle_beta 90.00
_cell_angle_gamma 90.00
loop_
_atom_site_label
_atom_site_type_symbol
_atom_site_fract_x
_atom_site_fract_y
_atom_site_fract_z
Ta1 Ta 0.000 0.000 0.000
Tl1 Tl 0.250 0.250 0.750
Ni1 Ni 0.000 0.000 0.500
Ni2 Ni 0.250 0.250 0.250

Repeat the twelfth record exactly.
# TaTlNi2 | OQMD via LeMat-Bulk | GGA-PBE | relaxed
# Size of the total moment: 0.01 μB per cell
# Raw total energy: -23.86 eV/f.u.
data_TaTlNi2
_chemical_formula_sum 'Ta4 Tl4 Ni8'
_space_group_name_H-M_alt 'F -4 3 m'
_space_group_IT_number 216
_space_group_name_Hall 'F -4 2 3'
_cell_length_a 6.290
_cell_length_b 6.290
_cell_length_c 6.290
_cell_angle_alpha 90.00
_cell_angle_beta 90.00
_cell_angle_gamma 90.00
loop_
_atom_site_label
_atom_site_type_symbol
_atom_site_fract_x
_atom_site_fract_y
_atom_site_fract_z
Ta1 Ta 0.000 0.000 0.000
Tl1 Tl 0.250 0.250 0.750
Ni1 Ni 0.000 0.000 0.500
Ni2 Ni 0.250 0.250 0.250

What is the raw total energy in the second record? -94.36 eV/f.u.

Which formula does entry 5 have? NaTaAgS3

What is the raw total energy in the fifth record? -32.25 eV/f.u.